BiOsS2: relaxed, PBE-GGA.

Structure (POSCAR):
```
BiOsS2
1.0
-5.0998 -1.0066 6.5249
-5.6938 -3.9823 4.6172
-2.8862 -3.8080 6.8385
S Os Bi
2 1 1
Direct
0.8816 0.8816 0.8816
0.1184 0.1184 0.1184
0.5000 0.5000 0.5000
0.0000 0.0000 0.0000
```

spin magnetization: 0.00 Bohr magnetons per cell
N(E_F): 2.7 states/eV/cell
crystal system: trigonal
total energy: -5.901 eV/atom